Sr2CaN: relaxed, GGA-PBE.

```
data_Sr2CaN
_chemical_formula_sum 'Sr8 Ca4 N4'
_space_group_name_H-M_alt 'I -4 2 d'
_space_group_IT_number 122
_space_group_name_Hall 'I -4 2bw'
_cell_length_a 7.8282
_cell_length_b 7.8282
_cell_length_c 10.6923
_cell_angle_alpha 90.00
_cell_angle_beta 90.00
_cell_angle_gamma 90.00
loop_
_atom_site_label
_atom_site_fract_x
_atom_site_fract_y
_atom_site_fract_z
Sr1 0.0681 0.2500 0.1250
Ca1 0.0000 0.0000 0.5000
N1 0.0000 0.0000 0.0000
```

Its raw formation energy is -0.091 eV/atom. The total energy is -3.51 eV/atom. As for the density of states at the Fermi level: 15.4 states/eV per cell.


CuAsPb2SO9: relaxed, GGA-PBE.

```
data_CuAsPb2SO9
_chemical_formula_sum 'Cu2 As2 Pb4 S2 O18'
_space_group_name_H-M_alt 'P 1 21/m 1'
_space_group_IT_number 11
_cell_length_a 8.6092
_cell_length_b 5.8177
_cell_length_c 8.6160
_cell_angle_alpha 90.00
_cell_angle_beta 110.70
_cell_angle_gamma 90.00
loop_
_space_group_symop_operation_xyz
'x,y,z'
'-x,-y,-z'
'-x,y+1/2,-z'
'x,-y+1/2,z'
loop_
_atom_site_label
_atom_site_fract_x
_atom_site_fract_y
_atom_site_fract_z
Cu1 0.0000 0.0000 0.0000
As1 0.0170 0.2500 0.3355
Pb1 0.2643 0.7500 0.3650
Pb2 0.3104 0.2500 0.7686
S1 0.4503 0.2500 0.1874
O1 0.0071 0.0029 0.7835
O2 0.1312 0.7500 0.5787
O3 0.1369 0.7500 0.0578
O4 0.2195 0.2500 0.4659
O5 0.2694 0.2500 0.0921
O6 0.4531 0.7500 0.9254
O7 0.4962 0.0393 0.2977
```

Its raw formation energy is -1.184 eV/atom. The total energy is -5.82 eV/atom.


ReNiHg: relaxed, GGA-PBE.

```
data_ReNiHg
_chemical_formula_sum 'Re4 Ni4 Hg4'
_space_group_name_H-M_alt 'F -4 3 m'
_space_group_IT_number 216
_space_group_name_Hall 'F -4 2 3'
_cell_length_a 6.0939
_cell_length_b 6.0939
_cell_length_c 6.0939
_cell_angle_alpha 90.00
_cell_angle_beta 90.00
_cell_angle_gamma 90.00
loop_
_atom_site_label
_atom_site_fract_x
_atom_site_fract_y
_atom_site_fract_z
Re1 0.0000 0.0000 0.0000
Ni1 0.2500 0.2500 0.7500
Hg1 0.2500 0.2500 0.2500
```

The total energy is -4.87 eV/atom. The calculation puts the formation energy at 1.3044 eV per atom. As for the density of states at the Fermi level: 19.0 states/eV per cell.


Nd2Dy2Ho4Er: relaxed, GGA-PBE.

```
data_Nd2Dy2Ho4Er
_chemical_formula_sum 'Nd4 Dy4 Ho8 Er2'
_space_group_name_H-M_alt 'C 1 2/m 1'
_space_group_IT_number 12
_cell_length_a 18.6335
_cell_length_b 3.5917
_cell_length_c 9.5436
_cell_angle_alpha 90.00
_cell_angle_beta 115.70
_cell_angle_gamma 90.00
loop_
_space_group_symop_operation_xyz
'x,y,z'
'-x,-y,-z'
'-x,y,-z'
'x,-y,z'
'x+1/2,y+1/2,z'
'-x+1/2,-y+1/2,-z'
'-x+1/2,y+1/2,-z'
'x+1/2,-y+1/2,z'
loop_
_atom_site_label
_atom_site_fract_x
_atom_site_fract_y
_atom_site_fract_z
Nd1 0.1653 0.0000 0.4991
Dy1 0.1470 0.5000 0.1624
Ho1 0.0194 0.0000 0.8345
Ho2 0.1854 0.5000 0.8359
Er1 0.0000 0.5000 0.5000
```

The total energy is -4.63 eV/atom. The calculation puts the formation energy at -0.0015 eV per atom. As for the density of states at the Fermi level: 24.3 states/eV per cell.


NdYMgTc: relaxed, GGA-PBE.

```
data_NdYMgTc
_chemical_formula_sum 'Nd4 Y4 Mg4 Tc4'
_space_group_name_H-M_alt 'F -4 3 m'
_space_group_IT_number 216
_space_group_name_Hall 'F -4 2 3'
_cell_length_a 7.2406
_cell_length_b 7.2406
_cell_length_c 7.2406
_cell_angle_alpha 90.00
_cell_angle_beta 90.00
_cell_angle_gamma 90.00
loop_
_atom_site_label
_atom_site_fract_x
_atom_site_fract_y
_atom_site_fract_z
Nd1 0.0000 0.0000 0.0000
Y1 0.0000 0.0000 0.5000
Mg1 0.2500 0.2500 0.2500
Tc1 0.2500 0.2500 0.7500
```

The total energy is -5.75 eV/atom. The calculation puts the formation energy at 0.0528 eV per atom. As for the density of states at the Fermi level: 9.7 states/eV per cell.


Nd12CuIr6: relaxed, GGA-PBE.

```
data_Nd12CuIr6
_chemical_formula_sum 'Nd36 Cu3 Ir18'
_space_group_name_H-M_alt 'R -3'
_space_group_IT_number 148
_space_group_name_Hall '-R 3'
_cell_length_a 12.9726
_cell_length_b 12.9726
_cell_length_c 11.6779
_cell_angle_alpha 90.00
_cell_angle_beta 90.00
_cell_angle_gamma 120.00
loop_
_atom_site_label
_atom_site_fract_x
_atom_site_fract_y
_atom_site_fract_z
Nd1 0.0296 0.2165 0.3927
Nd2 0.0396 0.2124 0.8873
Cu1 0.0000 0.0000 0.0000
Ir1 0.0481 0.2640 0.6498
```

The total energy is -6.48 eV/atom. The calculation puts the formation energy at -0.4562 eV per atom. As for the density of states at the Fermi level: 44.9 states/eV per cell.


PIrRu2: relaxed, GGA-PBE.

```
data_PIrRu2
_chemical_formula_sum 'P2 Ir2 Ru4'
_space_group_name_H-M_alt 'A m m 2'
_space_group_IT_number 38
_cell_length_a 3.8234
_cell_length_b 2.8040
_cell_length_c 10.2314
_cell_angle_alpha 90.00
_cell_angle_beta 90.00
_cell_angle_gamma 90.00
loop_
_space_group_symop_operation_xyz
'x,y,z'
'-x,-y,z'
'-x,y,z'
'x,-y,z'
'x,y+1/2,z+1/2'
'-x,-y+1/2,z+1/2'
'-x,y+1/2,z+1/2'
'x,-y+1/2,z+1/2'
loop_
_atom_site_label
_atom_site_fract_x
_atom_site_fract_y
_atom_site_fract_z
P1 0.0000 0.0000 0.0000
Ir1 0.5000 0.0000 0.8523
Ru1 0.0000 0.0000 0.2252
Ru2 0.5000 0.0000 0.5863
```

The total energy is -8.35 eV/atom. The calculation puts the formation energy at -0.1408 eV per atom. As for the density of states at the Fermi level: 6.9 states/eV per cell.


DyThTlIn: relaxed, GGA-PBE.

```
data_DyThTlIn
_chemical_formula_sum 'Dy4 Th4 Tl4 In4'
_space_group_name_H-M_alt 'F -4 3 m'
_space_group_IT_number 216
_space_group_name_Hall 'F -4 2 3'
_cell_length_a 7.6891
_cell_length_b 7.6891
_cell_length_c 7.6891
_cell_angle_alpha 90.00
_cell_angle_beta 90.00
_cell_angle_gamma 90.00
loop_
_atom_site_label
_atom_site_fract_x
_atom_site_fract_y
_atom_site_fract_z
Dy1 0.0000 0.0000 0.0000
Th1 0.0000 0.0000 0.5000
Tl1 0.2500 0.2500 0.2500
In1 0.2500 0.2500 0.7500
```

The total energy is -4.53 eV/atom. The calculation puts the formation energy at -0.2449 eV per atom. As for the density of states at the Fermi level: 15.6 states/eV per cell.


SiBr2Cl: relaxed, GGA-PBE.

```
data_SiBr2Cl
_chemical_formula_sum 'Si1 Br2 Cl1'
_space_group_name_H-M_alt 'P 4/m m m'
_space_group_IT_number 123
_space_group_name_Hall '-P 4 2'
_cell_length_a 3.3886
_cell_length_b 3.3886
_cell_length_c 9.3980
_cell_angle_alpha 90.00
_cell_angle_beta 90.00
_cell_angle_gamma 90.00
loop_
_atom_site_label
_atom_site_fract_x
_atom_site_fract_y
_atom_site_fract_z
Si1 0.0000 0.0000 0.0000
Br1 0.5000 0.5000 0.1769
Cl1 0.0000 0.0000 0.5000
```

Its raw formation energy is 0.242 eV/atom. The total energy is -2.41 eV/atom. As for the density of states at the Fermi level: 2.8 states/eV per cell.


TbPm3Th2As6: relaxed, GGA-PBE.

```
data_TbPm3Th2As6
_chemical_formula_sum 'Tb2 Pm6 Th4 As12'
_space_group_name_H-M_alt 'C 1 2/m 1'
_space_group_IT_number 12
_cell_length_a 18.4393
_cell_length_b 4.2347
_cell_length_c 8.4499
_cell_angle_alpha 90.00
_cell_angle_beta 103.33
_cell_angle_gamma 90.00
loop_
_space_group_symop_operation_xyz
'x,y,z'
'-x,-y,-z'
'-x,y,-z'
'x,-y,z'
'x+1/2,y+1/2,z'
'-x+1/2,-y+1/2,-z'
'-x+1/2,y+1/2,-z'
'x+1/2,-y+1/2,z'
loop_
_atom_site_label
_atom_site_fract_x
_atom_site_fract_y
_atom_site_fract_z
Tb1 0.0000 0.0000 0.0000
Pm1 0.0000 0.0000 0.5000
Pm2 0.1660 0.5000 0.8342
Th1 0.1649 0.5000 0.3301
As1 0.0000 0.5000 0.2459
As2 0.1650 0.0000 0.0827
As3 0.1672 0.0000 0.5824
```

The total energy is -6.64 eV/atom. The calculation puts the formation energy at -1.5043 eV per atom. As for the density of states at the Fermi level: 8.3 states/eV per cell.


Nb3ReW: relaxed, GGA-PBE.

```
data_Nb3ReW
_chemical_formula_sum 'Nb6 Re2 W2'
_space_group_name_H-M_alt 'P 1 21/m 1'
_space_group_IT_number 11
_cell_length_a 4.5755
_cell_length_b 4.5689
_cell_length_c 8.4514
_cell_angle_alpha 90.00
_cell_angle_beta 105.69
_cell_angle_gamma 90.00
loop_
_space_group_symop_operation_xyz
'x,y,z'
'-x,-y,-z'
'-x,y+1/2,-z'
'x,-y+1/2,z'
loop_
_atom_site_label
_atom_site_fract_x
_atom_site_fract_y
_atom_site_fract_z
Nb1 0.0541 0.2500 0.1069
Nb2 0.2502 0.2500 0.4994
Nb3 0.4464 0.2500 0.8925
Re1 0.3494 0.7500 0.6994
W1 0.1501 0.7500 0.3003
```

The total energy is -11.30 eV/atom. The calculation puts the formation energy at -0.1765 eV per atom. As for the density of states at the Fermi level: 4.4 states/eV per cell.


MgNiW: relaxed, GGA-PBE.

```
data_MgNiW
_chemical_formula_sum 'Mg2 Ni2 W2'
_space_group_name_H-M_alt 'P -1'
_space_group_IT_number 2
_cell_length_a 2.7296
_cell_length_b 5.0752
_cell_length_c 7.1650
_cell_angle_alpha 72.15
_cell_angle_beta 87.78
_cell_angle_gamma 76.78
loop_
_space_group_symop_operation_xyz
'x,y,z'
'-x,-y,-z'
loop_
_atom_site_label
_atom_site_fract_x
_atom_site_fract_y
_atom_site_fract_z
Mg1 0.1054 0.1819 0.1220
Ni1 0.4684 0.6028 0.2208
W1 0.2141 0.2336 0.5180
```

The total energy is -6.65 eV/atom. The calculation puts the formation energy at 0.1288 eV per atom. As for the density of states at the Fermi level: 4.2 states/eV per cell.


The records above yield ρ values of 2.32 6.00 13.08 8.31 6.22 8.63 12.88 10.43 3.44 7.80 12.67 9.64 g/cm³, respectively.